# Y4In20Ni11

A relaxed structure of Y4In20Ni11 (PBE-GGA, OQMD).

a b c (Å): 11.539 11.539 16.679
angles (deg): 123.88 123.88 21.67
Atoms (fractional coordinates):
In  0.202  0.202  0.003
In  0.398  0.398  0.008
In  0.010  0.010  0.095
In  0.628  0.628  0.196
In  0.936  0.936  0.210
In  0.247  0.247  0.291
In  0.389  0.389  0.309
In  0.541  0.541  0.377
In  0.885  0.885  0.449
In  0.297  0.297  0.498
In  0.703  0.703  0.502
In  0.115  0.115  0.551
In  0.459  0.459  0.623
In  0.611  0.611  0.691
In  0.753  0.753  0.709
In  0.064  0.064  0.790
In  0.372  0.372  0.804
In  0.990  0.990  0.905
In  0.602  0.602  0.992
In  0.798  0.798  0.997
Ni  0.136  0.136  0.103
Ni  0.347  0.347  0.121
Ni  0.506  0.506  0.194
Ni  0.747  0.747  0.383
Ni  0.978  0.978  0.400
Ni  0.500  0.500  0.500
Ni  0.022  0.022  0.600
Ni  0.253  0.253  0.617
Ni  0.494  0.494  0.806
Ni  0.653  0.653  0.879
Ni  0.864  0.864  0.897
Y  0.771  0.771  0.174
Y  0.119  0.119  0.331
Y  0.881  0.881  0.669
Y  0.229  0.229  0.826

The value obtained for the raw total energy is -152.3 eV/cell. Its density is 8.11 g cm⁻³. Its space-group type is C2/m. The magnetic moment is 0.0 Bohr magnetons per cell.

# HoLuPd

A relaxed structure of HoLuPd (PBE-GGA, OQMD).

a b c (Å): 6.956 4.797 8.658
angles (deg): 90.00 90.00 90.00
Atoms (fractional coordinates):
Ho  0.648  0.750  0.079
Ho  0.148  0.750  0.421
Ho  0.852  0.250  0.579
Ho  0.352  0.250  0.921
Lu  0.984  0.250  0.172
Lu  0.484  0.250  0.328
Lu  0.516  0.750  0.672
Lu  0.016  0.750  0.828
Pd  0.237  0.750  0.097
Pd  0.737  0.750  0.403
Pd  0.263  0.250  0.597
Pd  0.763  0.250  0.903

The value obtained for the raw total energy is -65.0 eV/cell. Its density is 10.26 g cm⁻³. Its space-group type is Pnma. The magnetic moment is 0.0 Bohr magnetons per cell. Its energy above the lowest structure with this stoichiometry is 0.014 eV/atom. The calculated formation energy comes out at -190 kJ/mol of formula units.

# Tb5YSe6

A relaxed structure of Tb5YSe6 (PBE-GGA, OQMD).

a b c (Å): 7.090 7.090 7.062
angles (deg): 99.64 99.64 120.13
Atoms (fractional coordinates):
Se  0.416  0.083  0.250
Se  0.083  0.416  0.250
Se  0.750  0.750  0.250
Se  0.250  0.250  0.750
Se  0.917  0.584  0.750
Se  0.584  0.917  0.750
Tb  0.667  0.333  0.000
Tb  0.333  0.667  0.000
Tb  0.833  0.167  0.500
Tb  0.500  0.500  0.500
Tb  0.167  0.833  0.500
Y  0.000  0.000  0.000

The value obtained for the raw total energy is -71.8 eV/cell. Its density is 7.79 g cm⁻³. Its space-group type is C2/m. The magnetic moment is 0.0 Bohr magnetons per cell.

# IrCl

A relaxed structure of IrCl (PBE-GGA, OQMD).

a b c (Å): 3.848 3.848 3.848
angles (deg): 60.00 60.00 60.00
Each line ends with the local moment (μB).
Atoms (fractional coordinates):
Cl  0.000  0.000  0.000  0.04
Ir  0.250  0.250  0.250  0.28

The value obtained for the raw total energy is -8.1 eV/cell. Its density is 9.38 g cm⁻³. Its space-group type is F-43m. The magnetic moment is 0.4 Bohr magnetons per cell. Its energy above the lowest structure with this stoichiometry is 0.251 eV/atom.